The following is a GGA-PBE calculation of a relaxed Ca2FeSe crystal, from Alexandria.

```
Ca2FeSe
1.0
5.097 0.000 0.000
2.549 4.415 0.000
2.549 1.472 4.162
Ca Fe Se
2 1 1
direct
0.000 0.000 0.000
0.250 0.250 0.250
0.500 0.500 0.500
0.750 0.750 0.750
```

Results
* spin magnetization: 2.57 μB/f.u.
* E above lowest polymorph: 0.662 eV per atom
* formation energy without anion corrections: 0.15 eV/atom
* energy: -3.835 eV/atom
* ρ: 3.81 Mg/m³